VASP calculation (PBE) on an optimized crystal structure of Ac4LaPm3S8.

abc: 8.3919 8.3919 8.3919
angles: 59.67 59.67 59.67
Closest atoms and distances in Å follow each position.
Fractional positions:
Ac  0.0000  0.0000  0.0000  6 S 3.00
Ac  0.0000  0.5000  0.5000  6 S 3.03-3.04
Ac  0.5000  0.0000  0.5000  6 S 3.03-3.04
Ac  0.5000  0.5000  0.0000  6 S 3.03-3.04
La  0.5000  0.5000  0.5000  6 S 2.92
Pm  0.0000  0.0000  0.5000  6 S 2.89
Pm  0.0000  0.5000  0.0000  6 S 2.89
Pm  0.5000  0.0000  0.0000  6 S 2.89
S  0.2407  0.7466  0.7466  2 Pm 2.89, 1 La 2.92, 3 Ac 3.00-3.04
S  0.2439  0.2439  0.2439  3 Pm 2.89, 3 Ac 3.03
S  0.2534  0.2534  0.7593  2 Pm 2.89, 1 La 2.92, 3 Ac 3.00-3.04
S  0.2534  0.7593  0.2534  2 Pm 2.89, 1 La 2.92, 3 Ac 3.00-3.04
S  0.7466  0.2407  0.7466  2 Pm 2.89, 1 La 2.92, 3 Ac 3.00-3.04
S  0.7466  0.7466  0.2407  2 Pm 2.89, 1 La 2.92, 3 Ac 3.00-3.04
S  0.7561  0.7561  0.7561  3 Pm 2.89, 3 Ac 3.03
S  0.7593  0.2534  0.2534  2 Pm 2.89, 1 La 2.92, 3 Ac 3.00-3.04

Summary:
E_form (uncorrected) = -2.028 eV/atom

=====

VASP calculation (PBE) on an optimized crystal structure of PaAg2BO6.

abc: 5.1520 5.7582 6.0740
angles: 74.58 73.04 64.62
Closest atoms and distances in Å follow each position.
Fractional positions:
Pa  0.0000  0.0000  0.0000  3 O 1.98-2.17
Ag  0.2626  0.2559  0.3734  4 O 2.23-2.40
Ag  0.6722  0.6379  0.9942  4 O 2.02-2.21
B  0.3445  0.4159  0.7936  3 O 1.39-1.41
O  0.1029  0.6551  0.8059  1 B 1.41
O  0.2769  0.6539  0.1955  1 Ag 2.02, 1 Pa 2.17
O  0.3093  0.2037  0.7573  1 B 1.39
O  0.6190  0.3831  0.8187  1 B 1.39
O  0.6366  0.9045  0.1823  1 Ag 2.06, 1 Pa 2.09
O  0.9328  0.2176  0.2300  1 Pa 1.98

Summary:
E_form (uncorrected) = -1.686 eV/atom

=====

VASP calculation (PBE) on an optimized crystal structure of LiNpGa2.

abc: 2.6456 2.6456 9.2915
angles: 90.00 90.00 90.00
Closest atoms and distances in Å follow each position.
Fractional positions:
Li  0.0000  0.0000  0.0000  4 Li 2.65, 8 Ga 2.84
Np  0.0000  0.0000  0.5000  4 Np 2.65
Ga  0.5000  0.5000  0.2305  4 Ga 2.65, 4 Li 2.84
Ga  0.5000  0.5000  0.7695  4 Ga 2.65, 4 Li 2.84

Summary:
Distance to the lowest polymorph of the same formula = 0.000 eV per atom

=====

| no. | total moment (μB/f.u.) | theoretical density (g/cm3) |
| --- | --- | --- |
| 1 | 0.0 | 7.0 |
| 2 | 0.0 | 6.0 |
| 3 | 0.7 | 9.8 |